CoRe6Tc2: optimized geometry, GGA-PBE.

Properties
- E_form (meV/atom) = 1180

Lattice parameters (Å, degrees): 5.262 5.262 11.944 90.00 90.00 90.00
Element x y z (fractional)
Co 0.000 0.000 0.000
Co 0.500 0.500 0.500
Re 0.200 0.200 0.385
Re 0.200 0.200 0.615
Re 0.204 0.796 0.500
Re 0.296 0.296 0.000
Re 0.300 0.700 0.115
Re 0.300 0.700 0.885
Re 0.700 0.300 0.115
Re 0.700 0.300 0.885
Re 0.704 0.704 0.000
Re 0.796 0.204 0.500
Re 0.800 0.800 0.385
Re 0.800 0.800 0.615
Tc 0.000 0.000 0.221
Tc 0.000 0.000 0.779
Tc 0.500 0.500 0.279
Tc 0.500 0.500 0.721